An optimized crystal structure of HfTa2TiCr. Source: Alexandria, functional GGA-PBE.

Calculated values
- energy of formation from the pure elements (meV/atom) = 1799
- SG = P4/mmm (123)
- size of the total moment (Bohr magnetons per cell) = 0.00

Cell lengths 4.9577, 4.3602, 4.9577 Å; angles 90.00, 90.00, 90.00 degrees
Last column: nearest neighbours and their distance in Å.
Sites, in units of the cell vectors:
Ti (0.5000, 0.5000, 0.5000)  8 Ta 3.30, 4 Cr 3.51
Ta (0.5000, 0.0000, 0.0000)  2 Hf 2.48
Hf (0.0000, 0.0000, 0.0000)  2 Cr 2.18
Ta (0.0000, 0.0000, 0.5000)  2 Hf 2.48
Cr (0.0000, 0.5000, 0.0000)  2 Hf 2.18

---

An optimized crystal structure of LiHoPa2Se6. Source: Alexandria, functional GGA-PBE.

Calculated values
- SG = P4mm (99)
- size of the total moment (Bohr magnetons per cell) = 2.00
- ΔE_f (raw) (meV/atom) = -1064

Cell lengths 6.9208, 6.5299, 6.5299 Å; angles 90.00, 90.00, 90.00 degrees
Last column: nearest neighbours and their distance in Å.
Sites, in units of the cell vectors:
Se (0.7509, 0.7593, 0.7593)  1 Li 2.65, 1 Ho 2.70, 2 Pa 2.86
Pa (0.9934, 0.0000, 0.5000)  4 Se 2.86
Pa (0.9934, 0.5000, 0.0000)  4 Se 2.86
Se (0.7509, 0.2407, 0.7593)  1 Li 2.65, 1 Ho 2.70, 2 Pa 2.86
Se (0.7509, 0.2407, 0.2407)  1 Li 2.65, 1 Ho 2.70, 2 Pa 2.86
Se (0.1684, 0.5000, 0.5000)  1 Ho 2.78
Se (0.1752, 0.0000, 0.0000)  1 Li 2.54
Ho (0.5704, 0.5000, 0.5000)  5 Se 2.70-2.78
Li (0.5423, 0.0000, 0.0000)  5 Se 2.54-2.65
Se (0.7509, 0.7593, 0.2407)  1 Li 2.65, 1 Ho 2.70, 2 Pa 2.86

---

> Among the records above, which one has the lowest size of the total moment?

HfTa2TiCr

---

> size of the total moment of number 2 (LiHoPa2Se6)?

2.00 Bohr magnetons per cell